Entry 1:
# SmThTe3 PBE relaxed
# * energy above the lowest structure with this stoichiometry: 0.000 eV per atom
# * final energy: -0.40991 Ry/atom
data_SmThTe3
_space_group_name_H-M_alt 'P -6 c 2'
_space_group_IT_number 188
_space_group_name_Hall 'P -6c 2'
_cell_length_a 7.6964
_cell_length_b 7.6964
_cell_length_c 7.5887
_cell_angle_alpha 90.00
_cell_angle_beta 90.00
_cell_angle_gamma 120.00
loop_
_atom_site_label
_atom_site_fract_x
_atom_site_fract_y
_atom_site_fract_z
_atom_site_occupancy
Sm1 0.0000 0.0000 0.0000 1
Th1 0.6667 0.3333 0.0000 1
Te1 0.3318 0.0081 0.2500 1

Entry 2:
# SmThTe4 PBE relaxed
# * energy above the lowest structure with this stoichiometry: 0.000 eV per atom
# * final energy: -0.38817 Ry/atom
data_SmThTe4
_space_group_name_H-M_alt 'C 1 2/c 1'
_space_group_IT_number 15
_cell_length_a 10.217
_cell_length_b 13.262
_cell_length_c 7.655
_cell_angle_alpha 90.00
_cell_angle_beta 128.28
_cell_angle_gamma 90.00
loop_
_space_group_symop_operation_xyz
'x,y,z'
'-x,-y,-z'
'-x,y,-z+1/2'
'x,-y,z+1/2'
'x+1/2,y+1/2,z'
'-x+1/2,-y+1/2,-z'
'-x+1/2,y+1/2,-z+1/2'
'x+1/2,-y+1/2,z+1/2'
loop_
_atom_site_label
_atom_site_fract_x
_atom_site_fract_y
_atom_site_fract_z
_atom_site_occupancy
Sm1 0.000 0.007 0.250 1
Th1 0.000 0.368 0.750 1
Te1 0.139 0.182 0.108 1
Te2 0.196 0.436 0.258 1

Entry 3:
# Sm2Th2Te7 PBE relaxed
# * final energy: -0.40406 Ry/atom
data_Sm2Th2Te7
_space_group_name_H-M_alt 'I m m 2'
_space_group_IT_number 44
_cell_length_a 4.450
_cell_length_b 16.006
_cell_length_c 9.901
_cell_angle_alpha 90.00
_cell_angle_beta 90.00
_cell_angle_gamma 90.00
loop_
_space_group_symop_operation_xyz
'x,y,z'
'-x,-y,z'
'-x,y,z'
'x,-y,z'
'x+1/2,y+1/2,z+1/2'
'-x+1/2,-y+1/2,z+1/2'
'-x+1/2,y+1/2,z+1/2'
'x+1/2,-y+1/2,z+1/2'
loop_
_atom_site_label
_atom_site_fract_x
_atom_site_fract_y
_atom_site_fract_z
_atom_site_occupancy
Sm1 0.000 0.000 0.000 1
Sm2 0.000 0.500 0.045 1
Th1 0.000 0.263 0.813 1
Te1 0.000 0.143 0.511 1
Te2 0.000 0.181 0.110 1
Te3 0.000 0.389 0.324 1
Te4 0.000 0.500 0.733 1

Entry 4:
# Sm3ThTe6 PBE relaxed
# * energy above the lowest structure with this stoichiometry: 0.068 eV per atom
# * final energy: -0.39170 Ry/atom
data_Sm3ThTe6
_space_group_name_H-M_alt 'R 3'
_space_group_IT_number 146
_space_group_name_Hall 'R 3'
_cell_length_a 7.8128
_cell_length_b 7.8128
_cell_length_c 21.7167
_cell_angle_alpha 90.00
_cell_angle_beta 90.00
_cell_angle_gamma 120.00
loop_
_atom_site_label
_atom_site_fract_x
_atom_site_fract_y
_atom_site_fract_z
_atom_site_occupancy
Sm1 0.0000 0.0000 0.0000 1
Sm2 0.0000 0.0000 0.1830 1
Sm3 0.0000 0.0000 0.6844 1
Th1 0.0000 0.0000 0.5026 1
Te1 0.0052 0.3182 0.0916 1
Te2 0.0188 0.6695 0.2596 1

Entry 5:
# SmThTe2 PBE relaxed
# * energy above the lowest structure with this stoichiometry: 0.000 eV per atom
# * final energy: -0.42668 Ry/atom
data_SmThTe2
_space_group_name_H-M_alt 'R 3 m'
_space_group_IT_number 160
_space_group_name_Hall 'R 3 -2"'
_cell_length_a 4.2138
_cell_length_b 4.2138
_cell_length_c 24.4439
_cell_angle_alpha 90.00
_cell_angle_beta 90.00
_cell_angle_gamma 120.00
loop_
_atom_site_label
_atom_site_fract_x
_atom_site_fract_y
_atom_site_fract_z
_atom_site_occupancy
Sm1 0.0000 0.0000 0.0000 1
Th1 0.0000 0.0000 0.1693 1
Te1 0.0000 0.0000 0.4161 1
Te2 0.0000 0.0000 0.5863 1

Entry 6:
# SmThTe2 PBE relaxed
# * energy above the lowest structure with this stoichiometry: 0.017 eV per atom
# * final energy: -0.42542 Ry/atom
data_SmThTe2
_space_group_name_H-M_alt 'F m -3 m'
_space_group_IT_number 225
_space_group_name_Hall '-F 4 2 3'
_cell_length_a 7.673
_cell_length_b 7.673
_cell_length_c 7.673
_cell_angle_alpha 90.00
_cell_angle_beta 90.00
_cell_angle_gamma 90.00
loop_
_atom_site_label
_atom_site_fract_x
_atom_site_fract_y
_atom_site_fract_z
_atom_site_occupancy
Sm1 0.000 0.000 0.000 1
Th1 0.000 0.000 0.500 1
Te1 0.250 0.250 0.250 1

Entry 7:
# SmThTe PBE relaxed
# * energy above the lowest structure with this stoichiometry: 0.000 eV per atom
# * final energy: -0.43001 Ry/atom
data_SmThTe
_space_group_name_H-M_alt 'P 4/n m m'
_space_group_IT_number 129
_cell_length_a 4.297
_cell_length_b 4.297
_cell_length_c 10.533
_cell_angle_alpha 90.00
_cell_angle_beta 90.00
_cell_angle_gamma 90.00
loop_
_space_group_symop_operation_xyz
'x,y,z'
'-x,-y,-z'
'-y+1/2,x,z'
'y+1/2,-x,-z'
'-x+1/2,-y+1/2,z'
'x+1/2,y+1/2,-z'
'y,-x+1/2,z'
'-y,x+1/2,-z'
'x+1/2,-y,-z'
'-x+1/2,y,z'
'-y,-x,-z'
'y,x,z'
'-x,y+1/2,-z'
'x,-y+1/2,z'
'y+1/2,x+1/2,-z'
'-y+1/2,-x+1/2,z'
loop_
_atom_site_label
_atom_site_fract_x
_atom_site_fract_y
_atom_site_fract_z
_atom_site_occupancy
Sm1 0.250 0.250 0.200 1
Th1 0.250 0.250 0.568 1
Te1 0.250 0.250 0.881 1

Entry 8:
# SmThTe3 PBE relaxed
# * energy above the lowest structure with this stoichiometry: 0.176 eV per atom
# * final energy: -0.39699 Ry/atom
data_SmThTe3
_space_group_name_H-M_alt 'P m m a'
_space_group_IT_number 51
_cell_length_a 6.278
_cell_length_b 4.509
_cell_length_c 11.896
_cell_angle_alpha 90.00
_cell_angle_beta 90.00
_cell_angle_gamma 90.00
loop_
_space_group_symop_operation_xyz
'x,y,z'
'-x,-y,-z'
'-x+1/2,-y,z'
'x+1/2,y,-z'
'x+1/2,-y,-z'
'-x+1/2,y,z'
'-x,y,-z'
'x,-y,z'
loop_
_atom_site_label
_atom_site_fract_x
_atom_site_fract_y
_atom_site_fract_z
_atom_site_occupancy
Sm1 0.250 0.000 0.109 1
Th1 0.250 0.500 0.644 1
Te1 0.000 0.000 0.500 1
Te2 0.250 0.000 0.848 1
Te3 0.250 0.500 0.276 1

no.,ΔE_f (raw) (eV/atom),mass density (g cm⁻³),density of states at the Fermi level (states/eV/f.u.)
1,-1.264,6.5,1.7
2,-1.164,7.3,3.2
3,-1.291,7.8,1.5
4,-1.287,6.3,6.9
5,-1.200,8.5,3.3
6,-1.182,9.4,3.4
7,-0.757,8.7,3.0
8,-1.089,7.5,3.3